Entry 1:
VASP calculation (GGA-PBE) on a relaxed structure of Pr3PuSc2Se6.

Cell: 7.0705 7.0705 7.2354 Å, 99.41 99.41 120.03°
Fractional positions:
Pr  0.0000  0.0000  0.0000
Pr  0.3380  0.6620  0.0000
Pr  0.6620  0.3380  0.0000
Pu  0.5000  0.5000  0.5000
Sc  0.1679  0.8321  0.5000
Sc  0.8321  0.1679  0.5000
Se  0.0791  0.4242  0.2724
Se  0.2282  0.2282  0.7214
Se  0.4242  0.0791  0.2724
Se  0.5758  0.9209  0.7276
Se  0.7718  0.7718  0.2786
Se  0.9209  0.5758  0.7276

* crystal system: monoclinic
* DOS(E_F): 14.4 states/eV per cell
* uncorrected formation energy: -1.700 eV per atom

Entry 2:
VASP calculation (GGA-PBE) on a relaxed structure of Pr3Pu2ScSe6.

Cell: 7.1685 7.1685 7.2791 Å, 99.47 99.47 120.01°
Fractional positions:
Pr  0.0000  0.0000  0.0000
Pr  0.3287  0.6713  0.0000
Pr  0.6713  0.3287  0.0000
Pu  0.1657  0.8343  0.5000
Pu  0.8343  0.1657  0.5000
Sc  0.5000  0.5000  0.5000
Se  0.1004  0.4236  0.2692
Se  0.2564  0.2564  0.7372
Se  0.4236  0.1004  0.2692
Se  0.5764  0.8996  0.7308
Se  0.7436  0.7436  0.2628
Se  0.8996  0.5764  0.7308

* crystal system: monoclinic
* DOS(E_F): 19.4 states/eV per cell
* uncorrected formation energy: -1.698 eV per atom

Entry 3:
VASP calculation (GGA-PBE) on a relaxed structure of Pr2PuScSe4.

Cell: 7.1375 4.1037 7.2428 Å, 90.00 108.91 90.00°
Fractional positions:
Pr  0.0000  0.0000  0.0000
Pr  0.5000  0.5000  0.0000
Pu  0.0000  0.5000  0.5000
Sc  0.5000  0.0000  0.5000
Se  0.2529  0.0000  0.7325
Se  0.2668  0.5000  0.2739
Se  0.7332  0.5000  0.7261
Se  0.7471  0.0000  0.2675

* crystal system: monoclinic
* DOS(E_F): 10.0 states/eV per cell
* uncorrected formation energy: -1.696 eV per atom

Entry 4:
VASP calculation (GGA-PBE) on a relaxed structure of Pr2Pu3ScSe6.

Cell: 9.2701 9.2701 8.3257 Å, 103.20 103.20 25.74°
Fractional positions:
Pr  0.1659  0.1659  0.3338
Pr  0.8341  0.8341  0.6662
Pu  0.1700  0.1700  0.8355
Pu  0.5000  0.5000  0.5000
Pu  0.8300  0.8300  0.1645
Sc  0.5000  0.5000  0.0000
Se  0.0041  0.0041  0.7658
Se  0.3357  0.3357  0.4094
Se  0.3399  0.3399  0.9267
Se  0.6601  0.6601  0.0733
Se  0.6643  0.6643  0.5906
Se  0.9959  0.9959  0.2342

* crystal system: monoclinic
* DOS(E_F): 28.1 states/eV per cell
* uncorrected formation energy: -1.640 eV per atom

Entry 5:
VASP calculation (GGA-PBE) on a relaxed structure of PrPu2ScSe4.

Cell: 7.0613 4.1051 7.2152 Å, 90.00 109.41 90.00°
Fractional positions:
Pr  0.0000  0.0000  0.0000
Pu  0.5000  0.0000  0.5000
Pu  0.5000  0.5000  0.0000
Sc  0.0000  0.5000  0.5000
Se  0.2400  0.0000  0.7341
Se  0.2501  0.5000  0.2644
Se  0.7499  0.5000  0.7356
Se  0.7600  0.0000  0.2659

* crystal system: monoclinic
* DOS(E_F): 18.2 states/eV per cell
* uncorrected formation energy: -1.602 eV per atom

Entry 6:
VASP calculation (GGA-PBE) on a relaxed structure of PrPu2ScTe4.

Cell: 7.6032 4.3789 7.6558 Å, 90.00 109.26 90.00°
Fractional positions:
Pr  0.0000  0.0000  0.0000
Pu  0.0000  0.5000  0.5000
Pu  0.5000  0.0000  0.5000
Sc  0.5000  0.5000  0.0000
Te  0.2624  0.5000  0.2496
Te  0.2658  0.0000  0.7601
Te  0.7342  0.0000  0.2399
Te  0.7376  0.5000  0.7504

* crystal system: monoclinic
* DOS(E_F): 22.7 states/eV per cell
* uncorrected formation energy: -1.174 eV per atom

Entry 7:
VASP calculation (GGA-PBE) on a relaxed structure of Pr3PuSc2Te6.

Cell: 9.8689 9.8689 8.8735 Å, 104.19 104.19 25.44°
Fractional positions:
Pr  0.0000  0.0000  0.0000
Pr  0.3379  0.3379  0.6697
Pr  0.6621  0.6621  0.3303
Pu  0.0000  0.0000  0.5000
Sc  0.3369  0.3369  0.1751
Sc  0.6631  0.6631  0.8249
Te  0.1672  0.1672  0.6000
Te  0.1746  0.1746  0.0659
Te  0.4925  0.4925  0.2521
Te  0.5075  0.5075  0.7479
Te  0.8254  0.8254  0.9341
Te  0.8328  0.8328  0.4000

* crystal system: monoclinic
* DOS(E_F): 12.5 states/eV per cell
* uncorrected formation energy: -1.272 eV per atom

Entry 8:
VASP calculation (GGA-PBE) on a relaxed structure of Pr3Pu2ScTe6.

Cell: 9.9490 9.9490 8.9325 Å, 103.76 103.76 25.62°
Fractional positions:
Pr  0.0000  0.0000  0.0000
Pr  0.3292  0.3292  0.6642
Pr  0.6708  0.6708  0.3358
Pu  0.3350  0.3350  0.1682
Pu  0.6650  0.6650  0.8318
Sc  0.0000  0.0000  0.5000
Te  0.1581  0.1581  0.5843
Te  0.1691  0.1691  0.0783
Te  0.4993  0.4993  0.7317
Te  0.5007  0.5007  0.2683
Te  0.8309  0.8309  0.9217
Te  0.8419  0.8419  0.4157

* crystal system: monoclinic
* DOS(E_F): 23.9 states/eV per cell
* uncorrected formation energy: -1.272 eV per atom

Entry 9:
VASP calculation (GGA-PBE) on a relaxed structure of PrPuThSc.

Cell: 5.5148 5.5148 5.5148 Å, 60.00 60.00 60.00°
Fractional positions:
Pr  0.0000  0.0000  0.0000
Pu  0.2500  0.2500  0.2500
Th  0.5000  0.5000  0.5000
Sc  0.7500  0.7500  0.7500

* crystal system: cubic
* formation enthalpy at 0 K: 0.196 eV per atom
* DOS(E_F): 14.2 states/eV per cell

Entry 10:
VASP calculation (GGA-PBE) on a relaxed structure of Pr2PuSe3.

Cell: 7.3336 7.3336 7.3336 Å, 146.57 131.96 59.80°
Fractional positions:
Pr  0.1699  0.1699  0.0000
Pr  0.8301  0.8301  0.0000
Pu  0.5000  0.5000  0.0000
Se  0.0000  0.5000  0.5000
Se  0.3400  0.8400  0.5000
Se  0.6600  0.1600  0.5000

* crystal system: orthorhombic
* DOS(E_F): 9.5 states/eV per cell
* uncorrected formation energy: -1.758 eV per atom

Entry 11:
VASP calculation (GGA-PBE) on a relaxed structure of PrPu3Se6.

Cell: 11.5169 4.1865 12.0934 Å, 90.00 108.08 90.00°
Fractional positions:
Pr  0.0486  0.2500  0.1960
Pr  0.9514  0.7500  0.8040
Pu  0.1573  0.2500  0.5828
Pu  0.3180  0.7500  0.0006
Pu  0.4398  0.2500  0.3350
Pu  0.5602  0.7500  0.6650
Pu  0.6820  0.2500  0.9994
Pu  0.8427  0.7500  0.4172
Se  0.0868  0.7500  0.4056
Se  0.1172  0.2500  0.9627
Se  0.1947  0.7500  0.7468
Se  0.2621  0.7500  0.2281
Se  0.3946  0.2500  0.5562
Se  0.4836  0.2500  0.1135
Se  0.5164  0.7500  0.8865
Se  0.6054  0.7500  0.4438
Se  0.7379  0.2500  0.7719
Se  0.8053  0.2500  0.2532
Se  0.8828  0.7500  0.0373
Se  0.9132  0.2500  0.5944

* crystal system: monoclinic
* DOS(E_F): 66.2 states/eV per cell
* uncorrected formation energy: -1.543 eV per atom

Entry 12:
VASP calculation (GGA-PBE) on a relaxed structure of PrPu3Se4.

Cell: 7.2417 7.2417 4.1774 Å, 90.00 90.00 109.43°
Fractional positions:
Pr  0.0000  0.0000  0.0000
Pu  0.0000  0.5000  0.5000
Pu  0.5000  0.0000  0.5000
Pu  0.5000  0.5000  0.0000
Se  0.2538  0.7462  0.0000
Se  0.2575  0.2575  0.5000
Se  0.7425  0.7425  0.5000
Se  0.7462  0.2538  0.0000

* crystal system: orthorhombic
* DOS(E_F): 26.9 states/eV per cell
* uncorrected formation energy: -1.616 eV per atom

Entry 13:
VASP calculation (GGA-PBE) on a relaxed structure of PrPu2Se3.

Cell: 7.2502 7.2502 7.2502 Å, 146.41 131.79 60.04°
Fractional positions:
Pr  0.0000  0.0000  0.0000
Pu  0.3353  0.3353  0.0000
Pu  0.6647  0.6647  0.0000
Se  0.1730  0.6730  0.5000
Se  0.5000  0.0000  0.5000
Se  0.8270  0.3270  0.5000

* crystal system: orthorhombic
* DOS(E_F): 19.7 states/eV per cell
* uncorrected formation energy: -1.642 eV per atom